VASP calculation (PBE-GGA) on a relaxed structure of Ba2UCr2N6.

Geometry as POSCAR:
```
Ba2UCr2N6
1.0
5.961 0.000 0.000
-2.981 5.228 -0.270
0.000 -3.329 5.918
Ba U Cr N
2 1 2 6
Direct
0.721 0.442 0.191
0.279 0.558 0.809
0.500 0.000 0.500
0.945 0.890 0.796
0.055 0.110 0.204
0.752 0.505 0.684
0.232 0.971 0.255
0.262 0.029 0.745
0.768 0.029 0.745
0.738 0.971 0.255
0.248 0.495 0.316
```

Calculated volume   179.1 Å³/cell
N(E_F)   0.4655 states/eV per atom
Formation energy without anion corrections   -0.88 eV per atom
E   -8.55 eV per atom
SG   C2/m (12)

VASP calculation (PBE-GGA) on a relaxed structure of BaUCrN3.

Geometry as POSCAR:
```
BaUCrN3
1.0
-3.184 -0.822 -1.749
3.691 -5.775 -0.037
-3.559 -0.227 6.589
Ba U Cr N
2 2 2 6
Direct
0.365 0.730 0.932
0.635 0.270 0.068
0.652 0.304 0.576
0.348 0.696 0.424
0.003 0.005 0.337
0.997 0.995 0.663
0.845 0.690 0.244
0.832 0.663 0.615
0.504 0.008 0.314
0.168 0.337 0.385
0.496 0.992 0.686
0.155 0.310 0.756
```

Calculated volume   178.5 Å³/cell
N(E_F)   0.7543 states/eV per atom
Formation energy without anion corrections   -0.97 eV per atom
E   -8.94 eV per atom
SG   C2/m (12)